Record 1
Compound: AsS2NCl
Source: the Alexandria database
Functional: PBE
Structure: optimized geometry

## Properties
Its formation energy (no corrections) is 1.69 eV/atom. The value obtained for the energy above the lowest structure with this stoichiometry is 0.541 eV per atom. Its spin magnetization is 0.000 μB per atom.

extended XYZ file:
```
5
Lattice="4.8876 0.0000 0.0000 0.0000 4.8876 0.0000 0.0000 0.0000 3.4951" Properties=species:S:1:pos:R:3 pbc="T T T"
As 0.0000 0.0000 0.0000
S 0.0000 2.4438 1.7476
S 2.4438 0.0000 1.7476
N 2.4438 2.4438 0.0000
Cl 2.4438 2.4438 1.7476
```

***

Record 2
Compound: AsS2NCl
Source: the Alexandria database
Functional: PBE
Structure: optimized geometry

## Properties
Its formation energy (no corrections) is 1.19 eV/atom. The value obtained for the energy above the lowest structure with this stoichiometry is 0.043 eV per atom. Its spin magnetization is 0.138 μB per atom.

extended XYZ file:
```
5
Lattice="4.8921 0.0000 0.0000 0.0000 4.8921 0.0000 0.0000 0.0000 3.7195" Properties=species:S:1:pos:R:3 pbc="T T T"
As 0.0000 0.0000 0.0000
S 0.0000 2.4460 0.0000
S 2.4460 0.0000 0.0000
N 0.0000 0.0000 1.8597
Cl 2.4460 2.4460 1.8597
```

***

Record 3
Compound: AsS2NCl
Source: the Alexandria database
Functional: PBE
Structure: optimized geometry

## Properties
Its formation energy (no corrections) is 1.15 eV/atom. The value obtained for the energy above the lowest structure with this stoichiometry is 0.000 eV per atom. Its spin magnetization is 0.000 μB per atom.

extended XYZ file:
```
5
Lattice="4.3430 0.0000 0.0000 0.0000 4.3430 0.0000 0.0000 0.0000 4.1218" Properties=species:S:1:pos:R:3 pbc="T T T"
As 0.0000 0.0000 0.0000
S 0.0000 2.1715 2.0609
S 2.1715 0.0000 2.0609
N 2.1715 2.1715 2.0609
Cl 2.1715 2.1715 0.0000
```

***

Record 4
Compound: As2SeNCl
Source: the Alexandria database
Functional: PBE
Structure: optimized geometry

## Properties
Its formation energy (no corrections) is 0.93 eV/atom. The value obtained for the energy above the lowest structure with this stoichiometry is 0.000 eV per atom. Its spin magnetization is 0.000 μB per atom.

extended XYZ file:
```
5
Lattice="4.5440 0.0000 0.0000 0.0000 4.5440 0.0000 0.0000 0.0000 4.3391" Properties=species:S:1:pos:R:3 pbc="T T T"
As 0.0000 2.2720 0.0000
As 2.2720 0.0000 0.0000
Se 0.0000 0.0000 2.1696
N 0.0000 0.0000 0.0000
Cl 2.2720 2.2720 2.1696
```

***

Record 5
Compound: AsSeNCl2
Source: the Alexandria database
Functional: PBE
Structure: optimized geometry

## Properties
Its formation energy (no corrections) is 0.80 eV/atom. Its spin magnetization is 0.412 μB per atom.

extended XYZ file:
```
5
Lattice="5.4913 0.0000 0.0000 0.0000 5.4913 0.0000 0.0000 0.0000 3.5527" Properties=species:S:1:pos:R:3 pbc="T T T"
As 0.0000 0.0000 0.0000
Se 2.7456 2.7456 1.7763
N 0.0000 0.0000 1.7763
Cl 0.0000 2.7456 0.0000
Cl 2.7456 0.0000 0.0000
```

***

Record 6
Compound: As2SeNCl
Source: the Alexandria database
Functional: PBE
Structure: optimized geometry

## Properties
Its formation energy (no corrections) is 2.04 eV/atom. The value obtained for the energy above the lowest structure with this stoichiometry is 1.114 eV per atom. Its spin magnetization is 0.210 μB per atom.

extended XYZ file:
```
5
Lattice="4.9883 0.0000 0.0000 0.0000 4.9883 0.0000 0.0000 0.0000 5.1101" Properties=species:S:1:pos:R:3 pbc="T T T"
As 0.0000 2.4942 0.0000
As 2.4942 0.0000 0.0000
Se 0.0000 0.0000 2.5550
N 2.4942 2.4942 2.5550
Cl 0.0000 0.0000 0.0000
```